Material: MnNi3Te
Method: DFT, PBE
State: optimized geometry

Summary:
Theoretical density: 6.104 Mg/m³
Crystal system: cubic
E_form (uncorrected): 0.820 eV per atom
Energy above the most stable polymorph in this dataset: 0.0000 eV/atom
SG: No. 221
Total moment: 4.90 μB per formula unit

a b c (Å): 4.603 4.603 4.603
angles (deg): 90.00 90.00 90.00
Sites, in units of the cell vectors:
Mn (0.000, 0.000, 0.000)
Ni (0.000, 0.500, 0.500)
Ni (0.500, 0.000, 0.500)
Ni (0.500, 0.500, 0.000)
Te (0.500, 0.500, 0.500)

***

Material: MnNi7Te12
Method: DFT, PBE
State: optimized geometry

Summary:
Theoretical density: 7.002 Mg/m³
Crystal system: trigonal
E_form (uncorrected): -0.101 eV per atom
SG: No. 148
Total moment: 4.16 μB per formula unit

a b c (Å): 8.204 8.204 8.204
angles (deg): 105.84 105.84 105.84
Sites, in units of the cell vectors:
Mn (0.000, 0.000, 0.000)
Ni (0.044, 0.356, 0.125)
Ni (0.125, 0.044, 0.356)
Ni (0.356, 0.125, 0.044)
Ni (0.500, 0.500, 0.500)
Ni (0.644, 0.875, 0.956)
Ni (0.875, 0.956, 0.644)
Ni (0.956, 0.644, 0.875)
Te (0.062, 0.705, 0.212)
Te (0.158, 0.372, 0.447)
Te (0.212, 0.062, 0.705)
Te (0.295, 0.788, 0.938)
Te (0.372, 0.447, 0.158)
Te (0.447, 0.158, 0.372)
Te (0.553, 0.842, 0.628)
Te (0.628, 0.553, 0.842)
Te (0.705, 0.212, 0.062)
Te (0.788, 0.938, 0.295)
Te (0.842, 0.628, 0.553)
Te (0.938, 0.295, 0.788)